Compound: CoSnRh2
Source: the Alexandria database
Functional: SCAN
Structure: single point on PBEsol structure

Summary:
ΔE_f (eV/atom): -0.223
Crystal system: tetragonal

```
CoSnRh2
1.0
-1.993 1.993 3.566
1.993 -1.993 3.566
1.993 1.993 -3.566
Co Sn Rh
1 1 2
Direct
0.000 0.000 0.000 Co
0.500 0.500 0.000 Sn
0.250 0.750 0.500 Rh
0.750 0.250 0.500 Rh
```


Compound: Mn2TlPb
Source: the Alexandria database
Functional: SCAN
Structure: single point on PBEsol structure

Summary:
ΔE_f (eV/atom): 0.461
Crystal system: cubic

```
Mn2TlPb
1.0
0.000 3.471 3.471
3.471 0.000 3.471
3.471 3.471 0.000
Mn Tl Pb
2 1 1
Direct
0.000 0.000 0.000 Mn
0.250 0.250 0.250 Mn
0.500 0.500 0.500 Tl
0.750 0.750 0.750 Pb
```


Compound: Cu3Mo12S16
Source: the Alexandria database
Functional: SCAN
Structure: single point on PBEsol structure

Summary:
Formation energy from raw total energies (eV per atom): -0.676
Crystal system: triclinic

```
Cu3Mo12S16
1.0
6.408 0.000 0.000
0.962 8.629 0.000
0.351 0.024 9.438
Cu Mo S
3 12 16
Direct
0.000 0.000 0.000 Cu
0.062 0.205 0.687 Cu
0.176 0.596 0.300 Cu
0.296 0.578 0.831 Mo
0.306 0.076 0.329 Mo
0.483 0.669 0.063 Mo
0.488 0.174 0.561 Mo
0.536 0.360 0.990 Mo
0.548 0.861 0.492 Mo
0.627 0.740 0.802 Mo
0.634 0.239 0.299 Mo
0.682 0.431 0.730 Mo
0.690 0.931 0.229 Mo
0.869 0.524 0.964 Mo
0.873 0.024 0.464 Mo
0.210 0.494 0.074 S
0.217 0.991 0.569 S
0.283 0.847 0.906 S
0.295 0.351 0.394 S
0.357 0.310 0.777 S
0.368 0.807 0.282 S
0.466 0.620 0.604 S
0.470 0.120 0.103 S
0.701 0.479 0.188 S
0.702 0.982 0.690 S
0.807 0.299 0.513 S
0.807 0.792 0.012 S
0.886 0.248 0.901 S
0.890 0.755 0.388 S
0.953 0.602 0.722 S
0.964 0.107 0.221 S
```


Compound: Y2SiAu
Source: the Alexandria database
Functional: SCAN
Structure: single point on PBEsol structure

Summary:
Formation energy from raw total energies (eV per atom): -1.030
Crystal system: orthorhombic

```
Y2SiAu
1.0
4.172 0.000 0.000
0.000 2.020 5.353
0.000 -2.020 5.353
Y Si Au
2 1 1
Direct
0.000 0.000 0.000 Y
0.500 0.281 0.281 Y
0.500 0.561 0.561 Si
0.000 0.718 0.718 Au
```


Compound: LiTeBr
Source: the Alexandria database
Functional: SCAN
Structure: single point on PBEsol structure

Summary:
Formation energy from raw total energies (eV per atom): -0.663
Offset from the most stable computed form (meV per atom): 0.0
Crystal system: trigonal

```
LiTeBr
1.0
3.318 0.000 0.000
-1.659 2.873 0.000
0.000 0.000 7.659
Li Te Br
1 1 1
Direct
0.000 0.000 0.000 Li
0.333 0.667 0.685 Te
0.667 0.333 0.205 Br
```


Compound: Pt3Au
Source: the Alexandria database
Functional: SCAN
Structure: single point on PBEsol structure

Summary:
ΔE_f (eV/atom): 0.077
Crystal system: monoclinic

```
Pt3Au
1.0
2.757 0.000 0.000
0.000 4.748 0.000
-0.008 0.000 4.763
Pt Au
3 1
Direct
0.000 0.000 0.000 Pt
0.241 0.500 0.754 Pt
0.759 0.500 0.246 Pt
0.500 0.000 0.500 Au
```


Compound: Ru2IBr
Source: the Alexandria database
Functional: SCAN
Structure: single point on PBEsol structure

Summary:
Formation energy from raw total energies (eV per atom): 1.127
Crystal system: cubic

```
Ru2IBr
1.0
0.000 3.248 3.248
3.248 0.000 3.248
3.248 3.248 0.000
Ru I Br
2 1 1
Direct
0.250 0.250 0.250 Ru
0.750 0.750 0.750 Ru
0.000 0.000 0.000 I
0.500 0.500 0.500 Br
```


Compound: SiNiSe2Br
Source: the Alexandria database
Functional: SCAN
Structure: single point on PBEsol structure

Summary:
Formation energy from raw total energies (eV per atom): 0.482
Crystal system: tetragonal

```
SiNiSe2Br
1.0
4.625 0.000 0.000
0.000 4.625 0.000
0.000 0.000 4.757
Si Ni Se Br
1 1 2 1
Direct
0.000 0.000 0.000 Si
0.500 0.500 0.500 Ni
0.000 0.500 0.500 Se
0.500 0.000 0.500 Se
0.500 0.500 0.000 Br
```


Compound: Sr3HfP
Source: the Alexandria database
Functional: SCAN
Structure: single point on PBEsol structure

Summary:
Offset from the most stable computed form (meV per atom): 0.0
ΔE_f (eV/atom): 0.151
Crystal system: cubic

```
Sr3HfP
1.0
5.782 0.000 0.000
0.000 5.782 0.000
0.000 0.000 5.782
Sr Hf P
3 1 1
Direct
0.000 0.000 0.500 Sr
0.000 0.500 0.000 Sr
0.500 0.000 0.000 Sr
0.500 0.500 0.500 Hf
0.000 0.000 0.000 P
```


Compound: Ni2OsBr
Source: the Alexandria database
Functional: SCAN
Structure: single point on PBEsol structure

Summary:
Formation energy from raw total energies (eV per atom): 1.098
Offset from the most stable computed form (meV per atom): 0.0
Crystal system: orthorhombic

```
Ni2OsBr
1.0
2.850 0.000 0.000
0.000 4.262 0.000
0.000 0.000 4.425
Ni Os Br
2 1 1
Direct
0.000 0.000 0.000 Ni
0.500 0.000 0.500 Ni
0.000 0.500 0.500 Os
0.500 0.500 0.000 Br
```


Compound: RuPb3O
Source: the Alexandria database
Functional: SCAN
Structure: single point on PBEsol structure

Summary:
Formation energy from raw total energies (eV per atom): 0.398
Crystal system: cubic

```
RuPb3O
1.0
4.755 0.000 0.000
0.000 4.755 0.000
0.000 0.000 4.755
Ru Pb O
1 3 1
Direct
0.000 0.000 0.000 Ru
0.000 0.500 0.500 Pb
0.500 0.000 0.500 Pb
0.500 0.500 0.000 Pb
0.500 0.500 0.500 O
```


Compound: YNiMo3
Source: the Alexandria database
Functional: SCAN
Structure: single point on PBEsol structure

Summary:
Offset from the most stable computed form (meV per atom): 1836.3
ΔE_f (eV/atom): 2.882
Crystal system: cubic

```
YNiMo3
1.0
4.621 0.000 0.000
0.000 4.621 0.000
0.000 0.000 4.621
Y Ni Mo
1 1 3
Direct
0.000 0.000 0.000 Y
0.500 0.500 0.500 Ni
0.000 0.000 0.500 Mo
0.000 0.500 0.000 Mo
0.500 0.000 0.000 Mo
```